DFT (PBE) results for ZrNbAl2Ga after structural relaxation.

Output
- formation energy (eV per atom) = 1.24

a = 4.9409 Å, b = 4.9409 Å, c = 4.9093 Å
α = 90.00°, β = 90.00°, γ = 90.00°
Closest atoms and distances in Å follow each position.
Fractional coordinates of all 5 atoms:
1 Zr 0.0000 0.0000 0.0000  2 Ga 2.45, 4 Al 2.47
2 Nb 0.5000 0.5000 0.5000  8 Al 3.48, 4 Ga 3.49
3 Al 0.0000 0.5000 0.0000  2 Zr 2.47
4 Al 0.5000 0.0000 0.0000  2 Zr 2.47
5 Ga 0.0000 0.0000 0.5000  2 Zr 2.45

DFT (PBE) results for SrBe2Os after structural relaxation.

Output
- energy relative to the lowest polymorph listed for this composition (meV/atom) = 831.7
- formation energy (eV per atom) = 0.87

a = 4.6634 Å, b = 4.6634 Å, c = 2.7338 Å
α = 90.00°, β = 90.00°, γ = 90.00°
Closest atoms and distances in Å follow each position.
Fractional coordinates of all 4 atoms:
1 Sr 0.0000 0.0000 0.0000  8 Be 2.70, 2 Sr 2.73
2 Be 0.0000 0.5000 0.5000  4 Os 2.70, 4 Sr 2.70, 2 Be 2.73
3 Be 0.5000 0.0000 0.5000  4 Os 2.70, 4 Sr 2.70, 2 Be 2.73
4 Os 0.5000 0.5000 0.0000  8 Be 2.70, 2 Os 2.73

DFT (PBE) results for AlZn2Br after structural relaxation.

Output
- raw formation energy (eV/atom) = 0.212
- energy relative to the lowest polymorph listed for this composition (meV/atom) = 405.4

a = 3.9861 Å, b = 3.9861 Å, c = 5.8031 Å
α = 90.00°, β = 90.00°, γ = 90.00°
Closest atoms and distances in Å follow each position.
Fractional coordinates of all 4 atoms:
1 Al 0.0000 0.0000 0.0000  4 Br 2.82
2 Zn 0.0000 0.5000 0.5000  4 Zn 2.82
3 Zn 0.5000 0.0000 0.5000  4 Zn 2.82
4 Br 0.5000 0.5000 0.0000  4 Al 2.82

DFT (PBE) results for Y2Te2I after structural relaxation.

Output
- raw formation energy (eV/atom) = -1.312
- energy relative to the lowest polymorph listed for this composition (meV/atom) = 54.3

a = 8.5729 Å, b = 8.5729 Å, c = 4.0240 Å
α = 90.00°, β = 90.00°, γ = 90.00°
Closest atoms and distances in Å follow each position.
Fractional coordinates of all 10 atoms:
1 Y 0.1485 0.3515 0.0000  6 Te 3.20-3.24, 2 I 3.27
2 Y 0.3515 0.8515 0.0000  6 Te 3.20-3.24, 2 I 3.27
3 Y 0.6485 0.1485 0.0000  6 Te 3.20-3.24, 2 I 3.27
4 Y 0.8515 0.6485 0.0000  6 Te 3.20-3.24, 2 I 3.27
5 Te 0.1421 0.6421 0.5000  6 Y 3.20-3.24, 1 Te 3.45
6 Te 0.3579 0.1421 0.5000  6 Y 3.20-3.24, 1 Te 3.45
7 Te 0.6421 0.8579 0.5000  6 Y 3.20-3.24, 1 Te 3.45
8 Te 0.8579 0.3579 0.5000  6 Y 3.20-3.24, 1 Te 3.45
9 I 0.0000 0.0000 0.0000  4 Y 3.27
10 I 0.5000 0.5000 0.0000  4 Y 3.27